Cd2MoBr PBE optimized geometry; polymorph energy (0 for the lowest one) = 2.03 eV/f.u.
1.0
9.498 0.000 0.000
0.000 9.498 0.000
4.749 4.749 2.433
Br Cd Mo
2 4 2
Cartesian
4.749 9.498 1.216 Br
4.749 4.749 0.000 Br
7.124 6.179 1.824 Cd
8.068 2.375 0.608 Cd
1.430 7.124 0.608 Cd
11.873 12.817 1.824 Cd
0.000 0.000 0.000 Mo
9.498 4.749 1.216 Mo

---

CdMoBr2 PBE optimized geometry; polymorph energy (0 for the lowest one) = 2.73 eV/f.u.
1.0
-2.524 -4.203 0.250
-4.190 -0.499 -2.508
-0.190 -2.985 -3.893
Cd Br Mo
1 2 1
Cartesian
-3.452 -3.843 -3.076 Cd
-1.726 -1.922 -1.538 Br
-5.178 -5.765 -4.614 Br
0.000 0.000 0.000 Mo

---

CdMo2Br PBE optimized geometry; polymorph energy (0 for the lowest one) = 0.00 eV/f.u.
1.0
9.081 0.009 0.006
8.484 3.240 0.006
8.484 1.569 2.834
Mo Cd Br
2 1 1
Cartesian
6.727 1.244 0.735 Mo
25.686 4.751 2.806 Mo
19.334 3.576 2.112 Cd
13.374 2.474 1.461 Br

---

What formation energy from raw total energies values result from the calculations? In sequence: 2.78; 2.76; 0.84 eV/f.u..
What density of states at the Fermi level values result from the calculations? In sequence: 6.97; 2.84; 1.08 states/eV/cell.